Entry 1:
Compound: LaPr2Ni
Source: the Alexandria database
Functional: PBE
Structure: optimized geometry

a b c (Å): 3.7432 3.7432 32.0813
angles (deg): 90.00 90.00 120.00
Closest atoms and distances in Å follow each position.
Space group R-3m (No. 166, hexagonal axes)
Inequivalent atoms, fractional coordinates:
1 La 0.0000 0.0000 0.0000  2 Pr 3.58, 6 La 3.74
2 Pr 0.0000 0.0000 0.1115  3 Ni 2.79
3 Ni 0.0000 0.0000 0.5000  6 Pr 2.79

- formation energy (eV/atom) = 0.09
- volume (A^3/atom) = 32.44

---

Entry 2:
Compound: AgAs2Pt
Source: the Alexandria database
Functional: PBE
Structure: optimized geometry

a b c (Å): 3.0857 3.0857 7.5457
angles (deg): 90.00 90.00 90.00
Closest atoms and distances in Å follow each position.
Space group P4/mmm (No. 123)
Inequivalent atoms, fractional coordinates:
1 Ag 0.0000 0.0000 0.0000  8 As 3.02, 4 Ag 3.09
2 As 0.5000 0.5000 0.2766  4 Pt 2.76, 4 Ag 3.02, 4 As 3.09
3 Pt 0.0000 0.0000 0.5000  8 As 2.76, 4 Pt 3.09

- formation energy (eV/atom) = 0.05
- volume (A^3/atom) = 17.96

---

Entry 3:
Compound: Nb2In2CoSe6
Source: the Alexandria database
Functional: PBE
Structure: optimized geometry

a b c (Å): 6.1349 11.0047 8.1540
angles (deg): 90.00 103.88 90.00
Closest atoms and distances in Å follow each position.
Space group C2/m (No. 12)
Inequivalent atoms, fractional coordinates:
1 Nb 0.0000 0.1394 0.0000  6 Se 2.58-2.74
2 In 0.0000 0.3039 0.5000  6 Se 3.17-3.25, 2 In 3.29
3 Co 0.0000 0.5000 0.0000  6 Se 2.50-2.52
4 Se 0.2095 0.3342 0.1809  1 Co 2.50, 2 Nb 2.59-2.74
5 Se 0.2361 0.5000 0.7862  1 Co 2.52, 2 Nb 2.58

- volume (A^3/atom) = 24.29
- ΔE_f (raw) (eV/atom) = -0.47